[1]
Ce4CoIr2 | PBE-GGA | relaxed

**Calculated formation energy**: -324 meV/atom

a = 6.9267 Å, b = 3.7912 Å, c = 7.0758 Å
α = 90.00°, β = 106.08°, γ = 90.00°
Closest atoms and distances in Å follow each position.
Space group P2/m (No. 10)
One atom of each set of equivalent atoms:
Ce1 0.0754 0.0000 0.2679 x2  2 Co 2.65, 2 Ir 2.69-2.80
Ce2 0.4029 0.5000 0.7430 x2  1 Co 2.84, 4 Ir 2.92-2.98
Co1 0.0000 0.5000 0.5000 x1  6 Ce 2.65-2.84
Ir1 0.2993 0.0000 0.0124 x2  6 Ce 2.69-2.98, 1 Ir 2.83

[2]
LiGaTc | PBE-GGA | relaxed

**Calculated formation energy**: -16 meV/atom

a = 3.6904 Å, b = 3.6904 Å, c = 14.0352 Å
α = 90.00°, β = 90.00°, γ = 90.00°
Closest atoms and distances in Å follow each position.
Space group I4/mmm (No. 139)
One atom of each set of equivalent atoms:
Li1 0.0000 0.0000 0.1671 x4  5 Ga 2.64-2.71
Ga1 0.0000 0.0000 0.3604 x4  5 Li 2.64-2.71, 4 Tc 2.69
Tc1 0.0000 0.5000 0.0000 x4  4 Tc 2.61, 4 Ga 2.69

[3]
PAu2 | PBE-GGA | relaxed

**Calculated formation energy**: 655 meV/atom

a = 7.7451 Å, b = 7.7451 Å, c = 7.7451 Å
α = 90.00°, β = 90.00°, γ = 90.00°
Closest atoms and distances in Å follow each position.
Space group Fd-3m (No. 227, origin choice 2)
One atom of each set of equivalent atoms:
P1 0.1250 0.1250 0.1250 x8  12 Au 3.21, 4 P 3.35
Au1 0.0000 0.0000 0.5000 x16  6 Au 2.74

[4]
PaNiPtPb | PBE-GGA | relaxed

**Calculated formation energy**: -375 meV/atom

a = 6.8359 Å, b = 6.8359 Å, c = 6.8359 Å
α = 90.00°, β = 90.00°, γ = 90.00°
Closest atoms and distances in Å follow each position.
Space group F-43m (No. 216)
One atom of each set of equivalent atoms:
Pa1 0.0000 0.0000 0.0000 x4  4 Ni 2.96, 4 Pt 2.96
Ni1 0.2500 0.2500 0.2500 x4  4 Pb 2.96, 4 Pa 2.96
Pt1 0.2500 0.2500 0.7500 x4  4 Pb 2.96, 4 Pa 2.96
Pb1 0.0000 0.0000 0.5000 x4  4 Ni 2.96, 4 Pt 2.96

What is the calculated formation energy in the first record?
-324 meV/atom

What is the calculated formation energy in the first record?
-324 meV/atom

Among the records above, which one has the lowest calculated formation energy?
PaNiPtPb

What is the calculated formation energy in the third record?
655 meV/atom